{
  "formula": "La2DyHo5",
  "functional": "PBE",
  "state": "relaxed",
  "crystal_system": "tetragonal",
  "formation_energy_ev_per_atom": 0.03,
  "de_polymorph_mev_per_atom": 0.0,
  "cell": [[-2.547, 2.547, 10.034], [2.547, -2.547, 10.034], [2.547, 2.547, -10.034]],
  "species": ["La", "La", "Dy", "Ho", "Ho", "Ho", "Ho", "Ho"],
  "fractional_positions": [[0.250, 0.250, 0.000], [0.750, 0.750, 0.000], [0.000, 0.000, 0.000], [0.122, 0.622, 0.500], [0.378, 0.878, 0.500], [0.500, 0.500, 0.000], [0.622, 0.122, 0.500], [0.878, 0.378, 0.500]]
}